A relaxed structure of ZrAlAuC. Source: OQMD via LeMat-Bulk, functional GGA-PBE.

Lattice parameters (Å, degrees): 3.2257 3.2257 13.6666 90.00 90.00 120.00
Space group P-6m2 (No. 187)
Inequivalent atoms, fractional coordinates:
Zr 0.0000 0.0000 0.0000 x1
Zr 0.3333 0.6667 0.5000 x1
Al 0.6667 0.3333 0.1728 x2
Au 0.0000 0.0000 0.3344 x2
C 0.3333 0.6667 0.1105 x2

Values from the calculation:
Energy above the lowest structure with this stoichiometry (eV per atom): 0.036
M_tot (μB/f.u.): 0.00